<a>
Computed, not measured: a relaxed RbNiF2 crystal at the PBE with a Hubbard U level of DFT.

abc: 5.1587 5.1587 7.0097
angles: 68.41 68.41 90.00
Last column: nearest neighbours and their distance in Å.
Positions (direct):
Ni 0.5000 0.5000 0.0000  4 F 2.10
Ni 0.2500 0.7500 0.5000  4 F 2.10
Rb 0.0000 0.0000 0.0000  4 F 2.71
Rb 0.7500 0.2500 0.5000  4 F 2.71
F 0.5158 0.1250 0.2500  2 Ni 2.10
F 0.2342 0.6250 0.2500  2 Ni 2.10
F 0.3750 0.4842 0.7500  2 Ni 2.10
F 0.8750 0.7658 0.7500  2 Ni 2.10

***

<b>
Computed, not measured: a relaxed RbNiF2 crystal at the PBE with a Hubbard U level of DFT.

abc: 7.1818 7.1818 7.1818
angles: 32.58 32.58 32.58
Last column: nearest neighbours and their distance in Å.
Positions (direct):
Ni 0.0000 0.0000 0.0000  2 F 1.88
Rb 0.5000 0.5000 0.5000  6 F 2.78
F 0.9079 0.9079 0.9079  1 Ni 1.88
F 0.0921 0.0921 0.0921  1 Ni 1.88

***

The structure with the least stability is <a>.

***

<a>
Computed, not measured: a relaxed RbNiF2 crystal at the PBE with a Hubbard U level of DFT.

abc: 4.4458 4.4458 4.4458
angles: 60.00 60.00 60.00
Last column: nearest neighbours and their distance in Å.
Positions (direct):
Ni 0.0000 0.0000 0.0000  8 F 2.72
Rb 0.5000 0.5000 0.5000  8 F 2.72
F 0.2500 0.2500 0.2500  4 Rb 2.72, 4 Ni 2.72
F 0.7500 0.7500 0.7500  4 Rb 2.72, 4 Ni 2.72

***

<b>
Computed, not measured: a relaxed RbNiF2 crystal at the PBE with a Hubbard U level of DFT.

abc: 7.4199 7.4199 7.4199
angles: 27.61 27.61 27.61
Last column: nearest neighbours and their distance in Å.
Positions (direct):
Ni 0.5000 0.5000 0.5000  6 F 2.24
Rb 0.0000 0.0000 0.0000  2 F 2.65
F 0.8760 0.8760 0.8760  3 Ni 2.24
F 0.1240 0.1240 0.1240  3 Ni 2.24

***

The structure with the least stability is <a>.

***

<a>
Computed, not measured: a relaxed RbNi2F crystal at the PBE with a Hubbard U level of DFT.

abc: 5.3263 5.3263 5.3263
angles: 60.00 60.00 60.00
Last column: nearest neighbours and their distance in Å.
Positions (direct):
Ni 0.2500 0.2500 0.2500  4 F 3.26, 4 Rb 3.26
Ni 0.7500 0.7500 0.7500  4 Rb 3.26, 4 F 3.26
Rb 0.5000 0.5000 0.5000  8 Ni 3.26
F 0.0000 0.0000 0.0000  8 Ni 3.26

***

<b>
Computed, not measured: a relaxed RbNi2F crystal at the PBE with a Hubbard U level of DFT.

abc: 5.4789 5.4789 7.4390
angles: 68.39 68.39 90.00
Last column: nearest neighbours and their distance in Å.
Positions (direct):
Ni 0.3752 0.1250 0.2500  2 F 2.10
Ni 0.3748 0.6250 0.2500  2 F 2.10
Ni 0.3750 0.6248 0.7500  2 F 2.10
Ni 0.8750 0.6252 0.7500  2 F 2.10
Rb 0.0000 0.0000 0.0000  8 Ni 3.45
Rb 0.7500 0.2500 0.5000  8 Ni 3.45
F 0.5000 0.5000 0.0000  4 Ni 2.10
F 0.2500 0.7500 0.5000  4 Ni 2.10

***

The structure with the least stability is <a>.

***

<a>
Computed, not measured: a relaxed Re2NiF crystal at the PBE with a Hubbard U level of DFT.

abc: 4.1140 4.1140 4.1140
angles: 60.00 60.00 60.00
Last column: nearest neighbours and their distance in Å.
Positions (direct):
Re 0.2500 0.2500 0.2500  4 F 2.52, 4 Ni 2.52
Re 0.7500 0.7500 0.7500  4 Ni 2.52, 4 F 2.52
F 0.0000 0.0000 0.0000  8 Re 2.52
Ni 0.5000 0.5000 0.5000  8 Re 2.52

***

<b>
Computed, not measured: a relaxed Re2NiF crystal at the PBE with a Hubbard U level of DFT.

abc: 6.4339 6.4339 5.1980
angles: 51.77 51.77 90.00
Last column: nearest neighbours and their distance in Å.
Positions (direct):
Re 0.5818 0.1250 0.2500  2 F 2.18
Re 0.1682 0.6250 0.2500  2 F 2.18
Re 0.3750 0.4182 0.7500  2 F 2.18
Re 0.8750 0.8318 0.7500  2 F 2.18
F 0.5000 0.5000 0.0000  4 Re 2.18
F 0.2500 0.7500 0.5000  4 Re 2.18
Ni 0.0000 0.0000 0.0000  2 F 2.51, 8 Re 2.56-2.81
Ni 0.7500 0.2500 0.5000  2 F 2.51, 8 Re 2.56-2.81

***

The structure with the least stability is <b>.